DFT (GGA-PBE) results for a relaxed structure of Tc2HgRu2.

```
Tc2HgRu2
1.0
7.610 0.000 0.000
0.000 7.610 0.000
0.000 0.000 2.767
Tc Hg Ru
4 2 4
Cartesian
1.251 2.555 0.000
2.555 6.360 0.000
5.056 1.251 0.000
6.360 5.056 0.000
0.000 0.000 1.383
3.805 3.805 1.383
0.940 4.745 1.383
2.866 0.940 1.383
4.745 6.671 1.383
6.671 2.866 1.383
```

Summary:
Energy relative to the lowest polymorph listed for this composition ... 0 meV per atom
M_tot ... 0.00 μB/cell
Energy ... -76.3 eV for the cell shown

=====

DFT (GGA-PBE) results for a relaxed structure of CaTcSbPb2.

```
CaTcSbPb2
1.0
5.615 0.000 0.000
0.000 5.615 0.000
0.000 0.000 5.377
Ca Tc Sb Pb
1 1 1 2
Cartesian
0.000 0.000 0.000
0.000 0.000 2.689
2.807 2.807 0.000
0.000 2.807 2.689
2.807 0.000 2.689
```

Summary:
M_tot ... 1.72 μB/cell
Formation energy without anion corrections ... 0.39 eV/atom
Energy ... -21.9 eV for the cell shown

=====

DFT (GGA-PBE) results for a relaxed structure of CsBaCa.

```
CsBaCa
1.0
-2.190 2.190 10.404
2.190 -2.190 10.404
2.190 2.190 -10.404
Cs Ba Ca
1 1 1
Cartesian
0.000 0.000 0.000
0.000 0.000 14.417
0.000 0.000 6.861
```

Summary:
Energy relative to the lowest polymorph listed for this composition ... 92 meV per atom
M_tot ... 0.00 μB/cell
Energy ... -4.3 eV for the cell shown

=====

DFT (GGA-PBE) results for a relaxed structure of RbBiPb.

```
RbBiPb
1.0
-2.097 2.097 6.711
2.097 -2.097 6.711
2.097 2.097 -6.711
Rb Bi Pb
1 1 1
Cartesian
0.000 0.000 0.000
0.000 0.000 9.362
0.000 0.000 4.007
```

Summary:
M_tot ... 0.00 μB/cell
Energy ... -9.1 eV for the cell shown

=====

DFT (GGA-PBE) results for a relaxed structure of Er2Ta3Ge4.

```
Er2Ta3Ge4
1.0
7.131 0.000 0.000
0.000 7.128 0.000
-2.349 0.000 6.599
Er Ta Ge
4 6 8
Cartesian
1.194 1.217 0.377
0.019 2.347 3.676
4.763 4.781 2.922
3.588 5.911 6.222
1.240 4.812 1.622
0.066 5.880 4.922
2.391 0.000 3.299
3.566 3.564 0.000
4.716 1.248 1.677
3.542 2.316 4.976
-1.407 3.820 5.642
-0.233 6.872 2.343
1.455 0.941 5.707
2.629 2.623 2.408
2.153 4.505 4.190
3.327 6.187 0.891
5.015 0.256 4.256
6.189 3.308 0.956
```

Summary:
M_tot ... 0.00 μB/cell
Energy ... -137.9 eV for the cell shown

=====

DFT (GGA-PBE) results for a relaxed structure of CaAcTlHg.

```
CaAcTlHg
1.0
0.000 3.984 3.984
3.984 0.000 3.984
3.984 3.984 0.000
Ca Ac Tl Hg
1 1 1 1
Cartesian
0.000 0.000 0.000
3.984 3.984 3.984
1.992 1.992 1.992
5.976 5.976 5.976
```

Summary:
M_tot ... 0.00 μB/cell
Energy ... -10.8 eV for the cell shown

=====

DFT (GGA-PBE) results for a relaxed structure of NaLi2PaI8.

```
NaLi2PaI8
1.0
-5.071 5.071 4.783
5.071 -5.071 4.783
5.071 5.071 -4.783
Na Li Pa I
1 2 1 8
Cartesian
0.000 0.000 0.000
0.000 0.000 4.783
0.000 5.071 2.391
5.071 0.000 2.391
2.924 5.071 -1.651
2.147 0.000 3.132
0.000 3.226 0.338
5.071 2.924 1.651
0.000 6.916 0.338
0.000 2.147 6.433
-1.845 5.071 4.444
1.845 5.071 4.444
```

Summary:
M_tot ... 0.00 μB/cell
Formation energy without anion corrections ... -0.95 eV/atom
Energy ... -38.5 eV for the cell shown

=====

DFT (GGA-PBE) results for a relaxed structure of VCuNi2Ge.

```
VCuNi2Ge
1.0
4.306 0.000 0.000
0.000 4.306 0.000
0.000 0.000 4.616
V Cu Ni Ge
1 1 2 1
Cartesian
0.000 0.000 0.000
0.000 0.000 2.308
0.000 2.153 0.000
2.153 0.000 0.000
2.153 2.153 2.308
```

Summary:
M_tot ... 1.54 μB/cell
Energy ... -23.9 eV for the cell shown

=====

DFT (GGA-PBE) results for a relaxed structure of Ce4PrZn5.

```
Ce4PrZn5
1.0
3.262 0.000 0.000
0.000 3.262 0.000
0.000 0.000 21.573
Ce Pr Zn
4 1 5
Cartesian
0.000 0.000 2.148
0.000 0.000 6.448
0.000 0.000 15.125
0.000 0.000 19.425
0.000 0.000 10.787
1.631 1.631 0.000
1.631 1.631 4.296
1.631 1.631 8.573
1.631 1.631 13.000
1.631 1.631 17.277
```

Summary:
M_tot ... 1.36 μB/cell
Energy ... -36.8 eV for the cell shown

=====

DFT (GGA-PBE) results for a relaxed structure of TiMo3C.

```
TiMo3C
1.0
4.528 0.000 0.000
0.000 4.528 0.000
0.000 0.000 4.528
Ti Mo C
1 3 1
Cartesian
0.000 0.000 0.000
0.000 0.000 2.264
0.000 2.264 0.000
2.264 0.000 0.000
2.264 2.264 2.264
```

Summary:
Energy relative to the lowest polymorph listed for this composition ... 2731 meV per atom
M_tot ... 0.00 μB/cell
Energy ... -35.8 eV for the cell shown

=====

DFT (GGA-PBE) results for a relaxed structure of Ti2MoPd.

```
Ti2MoPd
1.0
3.179 0.000 0.000
0.000 3.179 0.000
0.000 0.000 6.267
Ti Mo Pd
2 1 1
Cartesian
0.000 0.000 1.487
0.000 0.000 4.780
1.590 1.590 0.000
1.590 1.590 3.134
```

Summary:
M_tot ... 0.00 μB/cell
Energy ... -33.6 eV for the cell shown

=====

DFT (GGA-PBE) results for a relaxed structure of Dy5Y3Tm4.

```
Dy5Y3Tm4
1.0
6.116 0.000 0.000
0.009 7.069 0.000
0.011 0.002 8.639
Dy Y Tm
5 3 4
Cartesian
0.000 0.000 0.000
2.058 3.536 5.758
3.049 1.757 0.006
3.087 5.314 8.633
4.078 3.534 2.881
0.005 3.534 0.000
1.027 5.310 2.895
5.109 1.760 5.744
1.031 1.763 2.892
2.059 7.066 5.762
4.077 0.004 2.877
5.105 5.307 5.747
```

Summary:
Energy relative to the lowest polymorph listed for this composition ... 0 meV per atom
M_tot ... 0.00 μB/cell
Energy ... -60.0 eV for the cell shown

=====

DFT (GGA-PBE) results for a relaxed structure of YNpSc.

```
YNpSc
1.0
7.851 -1.748 0.000
7.851 1.748 0.000
-0.556 0.000 5.682
Y Np Sc
2 2 2
Cartesian
1.381 0.000 1.983
13.766 0.000 3.699
3.327 0.000 4.871
11.819 0.000 0.811
6.474 0.000 0.877
8.673 0.000 4.805
```

Summary:
M_tot ... 0.00 μB/cell
Energy ... -50.2 eV for the cell shown

=====

DFT (GGA-PBE) results for a relaxed structure of Ti8Cu3S16.

```
Ti8Cu3S16
1.0
5.898 -6.827 0.000
5.898 6.827 0.000
-0.020 0.000 5.901
Ti Cu S
8 3 16
Cartesian
2.939 3.414 2.950
2.973 1.707 0.002
2.893 0.000 2.922
2.973 -1.707 0.002
2.939 -3.414 2.950
8.803 1.707 5.899
8.883 0.000 2.979
8.803 -1.707 5.899
5.898 4.989 0.000
5.888 0.000 2.950
5.898 -4.989 0.000
1.482 1.723 1.961
10.294 -1.723 3.939
4.393 3.400 0.995
1.459 0.000 4.907
4.370 1.699 3.930
1.482 -1.723 1.961
4.399 0.000 0.977
7.384 3.400 4.906
4.370 -1.699 3.930
7.406 1.699 1.971
4.393 -3.400 0.995
7.377 0.000 4.924
10.294 1.723 3.939
7.406 -1.699 1.971
10.318 0.000 0.994
7.384 -3.400 4.906
```

Summary:
M_tot ... 0.00 μB/cell
Formation energy without anion corrections ... -1.16 eV/atom
Energy ... -172.7 eV for the cell shown

=====

DFT (GGA-PBE) results for a relaxed structure of Ac4Cd2GaHg.

```
Ac4Cd2GaHg
1.0
2.844 1.642 9.333
-2.844 1.642 9.333
0.000 -3.284 9.333
Ac Cd Ga Hg
4 2 1 1
Cartesian
0.000 0.000 3.441
0.000 0.000 10.440
0.000 0.000 17.559
0.000 0.000 24.558
0.000 0.000 6.982
0.000 0.000 21.017
0.000 0.000 0.000
0.000 0.000 14.000
```

Summary:
M_tot ... 0.00 μB/cell
Energy ... -24.5 eV for the cell shown

=====

DFT (GGA-PBE) results for a relaxed structure of NaMn2Tl3Br9.

```
NaMn2Tl3Br9
1.0
7.483 0.000 0.000
-3.742 6.481 0.000
0.000 0.000 9.812
Na Mn Tl Br
1 2 3 9
Cartesian
0.000 0.000 0.000
0.000 4.320 6.567
3.742 2.160 3.244
0.000 0.000 4.906
0.000 4.320 2.154
3.742 2.160 7.658
-1.871 3.240 4.906
0.000 2.183 7.881
-1.851 5.389 7.881
1.891 1.092 1.931
3.742 0.000 4.906
1.871 3.240 4.906
1.851 5.389 7.881
5.592 1.092 1.931
3.742 4.297 1.931
```

Summary:
M_tot ... 9.00 μB/cell
Formation energy without anion corrections ... -0.85 eV/atom
Energy ... -54.6 eV for the cell shown

=====

DFT (GGA-PBE) results for a relaxed structure of Cs3SmCu2Cl9.

```
Cs3SmCu2Cl9
1.0
7.354 0.000 0.000
-3.677 6.368 0.000
0.000 0.000 9.094
Cs Sm Cu Cl
3 1 2 9
Cartesian
0.000 0.000 0.000
0.000 4.246 6.149
3.677 2.123 2.945
0.000 0.000 4.547
0.000 4.246 1.189
3.677 2.123 7.905
-1.838 3.184 0.000
0.000 2.193 2.971
-1.777 5.272 2.971
1.899 1.097 6.123
3.677 0.000 0.000
1.838 3.184 0.000
1.777 5.272 2.971
5.454 1.097 6.123
3.677 4.175 6.123
```

Summary:
M_tot ... 1.06 μB/cell
Formation energy without anion corrections ... -1.57 eV/atom
Energy ... -55.7 eV for the cell shown

=====

DFT (GGA-PBE) results for a relaxed structure of KLiC2.

```
KLiC2
1.0
0.000 3.093 3.093
3.093 0.000 3.093
3.093 3.093 0.000
K Li C
1 1 2
Cartesian
0.000 0.000 0.000
3.093 3.093 3.093
1.546 1.546 1.546
4.639 4.639 4.639
```

Summary:
Energy relative to the lowest polymorph listed for this composition ... 834 meV per atom
M_tot ... 0.00 μB/cell
Energy ... -11.9 eV for the cell shown

=====

DFT (GGA-PBE) results for a relaxed structure of Pm4In5Ga2.

```
Pm4In5Ga2
1.0
7.902 0.000 0.000
0.000 3.710 0.000
-0.827 0.000 9.879
Pm In Ga
4 5 2
Cartesian
1.108 0.000 3.650
1.241 0.000 9.241
5.834 0.000 0.638
5.967 0.000 6.230
0.852 1.855 6.476
3.361 1.855 1.876
3.537 1.855 4.940
3.714 1.855 8.003
6.223 1.855 3.404
0.402 1.855 1.264
6.673 1.855 8.616
```

Summary:
M_tot ... 0.00 μB/cell
Energy ... -44.1 eV for the cell shown

=====

DFT (GGA-PBE) results for a relaxed structure of NiMo2W.

```
NiMo2W
1.0
3.857 0.000 0.000
0.000 3.857 0.000
0.000 0.000 3.958
Ni Mo W
1 2 1
Cartesian
0.000 0.000 0.000
0.000 1.929 1.979
1.929 0.000 1.979
1.929 1.929 0.000
```

Summary:
Energy relative to the lowest polymorph listed for this composition ... 79 meV per atom
M_tot ... 0.00 μB/cell
Energy ... -39.9 eV for the cell shown

=====

DFT (GGA-PBE) results for a relaxed structure of TiV3N.

```
TiV3N
1.0
4.358 0.000 0.000
0.000 4.358 0.000
0.000 0.000 4.358
Ti V N
1 3 1
Cartesian
0.000 0.000 0.000
0.000 0.000 2.179
0.000 2.179 0.000
2.179 0.000 0.000
2.179 2.179 2.179
```

Summary:
Energy relative to the lowest polymorph listed for this composition ... 2799 meV per atom
M_tot ... 1.76 μB/cell
Formation energy without anion corrections ... 2.23 eV/atom
Energy ... -32.4 eV for the cell shown

=====

DFT (GGA-PBE) results for a relaxed structure of GdPuTcAg.

```
GdPuTcAg
1.0
0.000 3.525 3.525
3.525 0.000 3.525
3.525 3.525 0.000
Gd Pu Tc Ag
1 1 1 1
Cartesian
0.000 0.000 0.000
3.525 3.525 3.525
1.763 1.763 1.763
5.288 5.288 5.288
```

Summary:
M_tot ... 2.40 μB/cell
Energy ... -41.2 eV for the cell shown

=====

DFT (GGA-PBE) results for a relaxed structure of CdBr2N.

```
CdBr2N
1.0
2.503 1.445 8.864
-2.503 1.445 8.864
0.000 -2.890 8.864
Cd Br N
1 2 1
Cartesian
0.000 0.000 0.000
0.000 0.000 2.410
0.000 0.000 24.183
0.000 0.000 13.296
```

Summary:
Energy relative to the lowest polymorph listed for this composition ... 270 meV per atom
M_tot ... 3.00 μB/cell
Formation energy without anion corrections ... 0.92 eV/atom
Energy ... -8.9 eV for the cell shown

=====

DFT (GGA-PBE) results for a relaxed structure of SrTcN2F.

```
SrTcN2F
1.0
3.938 0.000 0.000
0.000 3.938 0.000
0.000 0.000 4.291
Sr Tc N F
1 1 2 1
Cartesian
0.000 0.000 0.000
1.969 1.969 2.145
0.000 1.969 2.145
1.969 0.000 2.145
1.969 1.969 0.000
```

Summary:
Energy relative to the lowest polymorph listed for this composition ... 0 meV per atom
M_tot ... 0.00 μB/cell
Formation energy without anion corrections ... -0.93 eV/atom
Energy ... -35.2 eV for the cell shown